Density functional theory data (GGA-PBE) for a geometry-optimized LaGaRh3 structure.

Calculated values
V: 23.896 Å³/atom
Symmetry: No. 221
Theoretical density: 7.190 Mg/m³
Electronic total energy: -25.312 eV for the cell shown
Excess energy over the best structure of this formula in the dataset: 1.2352 eV/atom

Geometry as extended XYZ:
```
5
Lattice="4.925 0.000 0.000 0.000 4.925 0.000 0.000 0.000 4.925" Properties=species:S:1:pos:R:3 pbc="T T T"
La 0.000 0.000 0.000
Ga 2.463 2.463 2.463
Rh 0.000 0.000 2.463
Rh 0.000 2.463 0.000
Rh 2.463 0.000 0.000
```